Record 1
# Nb3ZnFe8, relaxed, DFT PBE
# - E_tot (eV per atom) = -8.39
# - M_tot (μB/atom) = 1.01
data_Nb3ZnFe8
_chemical_formula_sum 'Nb3 Zn1 Fe8'
_cell_length_a 4.806
_cell_length_b 4.806
_cell_length_c 8.306
_cell_angle_alpha 73.18
_cell_angle_beta 73.18
_cell_angle_gamma 60.00
_symmetry_space_group_name_H-M 'P 1'
_symmetry_Int_Tables_number 1
_symmetry_space_group_name_Hall 'P 1'
loop_
_atom_site_label
_atom_site_type_symbol
_atom_site_fract_x
_atom_site_fract_y
_atom_site_fract_z
Fe1 Fe 0.188 0.188 0.437
Fe2 Fe 0.688 0.688 0.936
Zn1 Zn 0.874 0.874 0.379
Fe3 Fe 0.438 0.938 0.687
Fe4 Fe 0.938 0.938 0.687
Nb1 Nb 0.376 0.376 0.872
Fe5 Fe 0.938 0.437 0.187
Fe6 Fe 0.437 0.437 0.187
Nb2 Nb 0.503 0.503 0.492
Fe7 Fe 0.437 0.938 0.187
Fe8 Fe 0.938 0.438 0.687
Nb3 Nb 0.996 0.996 0.012

Record 2
# Sc2TlSn, relaxed, DFT PBE
# - E_tot (eV per atom) = -5.17
# - M_tot (μB/atom) = 0.26
data_Sc2TlSn
_chemical_formula_sum 'Sc2 Tl1 Sn1'
_cell_length_a 4.291
_cell_length_b 4.644
_cell_length_c 4.644
_cell_angle_alpha 90.00
_cell_angle_beta 90.00
_cell_angle_gamma 90.00
_symmetry_space_group_name_H-M 'P 1'
_symmetry_Int_Tables_number 1
_symmetry_space_group_name_Hall 'P 1'
loop_
_atom_site_label
_atom_site_type_symbol
_atom_site_fract_x
_atom_site_fract_y
_atom_site_fract_z
Sc1 Sc 0.000 0.500 0.000
Sn1 Sn 0.500 0.500 0.500
Sc2 Sc 0.000 0.000 0.500
Tl1 Tl 0.500 0.000 0.000

Record 3
# CaP2IrO, relaxed, DFT PBE
# - raw formation energy (eV per atom) = -0.18
# - E_tot (eV per atom) = -5.50
# - M_tot (μB/atom) = 0.00
data_CaP2IrO
_chemical_formula_sum 'Ca1 P2 Ir1 O1'
_cell_length_a 4.497
_cell_length_b 4.497
_cell_length_c 4.614
_cell_angle_alpha 90.00
_cell_angle_beta 90.00
_cell_angle_gamma 90.00
_symmetry_space_group_name_H-M 'P 1'
_symmetry_Int_Tables_number 1
_symmetry_space_group_name_Hall 'P 1'
loop_
_atom_site_label
_atom_site_type_symbol
_atom_site_fract_x
_atom_site_fract_y
_atom_site_fract_z
P1 P 0.000 0.500 0.000
O1 O 0.000 0.000 0.500
P2 P 0.500 0.000 0.000
Ir1 Ir 0.000 0.000 0.000
Ca1 Ca 0.500 0.500 0.500

Record 4
# LiLaPa2O8, relaxed, DFT PBE
# - raw formation energy (eV per atom) = -2.68
# - E_tot (eV per atom) = -8.14
# - M_tot (μB/atom) = 0.17
data_LiLaPa2O8
_chemical_formula_sum 'Li1 La1 Pa2 O8'
_cell_length_a 5.653
_cell_length_b 5.653
_cell_length_c 5.845
_cell_angle_alpha 90.00
_cell_angle_beta 90.00
_cell_angle_gamma 120.00
_symmetry_space_group_name_H-M 'P 1'
_symmetry_Int_Tables_number 1
_symmetry_space_group_name_Hall 'P 1'
loop_
_atom_site_label
_atom_site_type_symbol
_atom_site_fract_x
_atom_site_fract_y
_atom_site_fract_z
O1 O 0.339 0.278 0.828
Pa1 Pa 0.667 0.333 0.098
O2 O 0.333 0.667 0.564
O3 O 0.940 0.661 0.828
O4 O 0.060 0.339 0.172
O5 O 0.667 0.333 0.436
O6 O 0.722 0.060 0.828
O7 O 0.661 0.722 0.172
La1 La 0.000 0.000 0.500
Pa2 Pa 0.333 0.667 0.902
Li1 Li 0.000 0.000 0.000
O8 O 0.278 0.940 0.172

Record 5
# BaCd2PtSe, relaxed, DFT PBE
# - raw formation energy (eV per atom) = -0.51
# - E_tot (eV per atom) = -3.16
# - M_tot (μB/atom) = 0.00
data_BaCd2PtSe
_chemical_formula_sum 'Ba1 Cd2 Pt1 Se1'
_cell_length_a 5.152
_cell_length_b 5.590
_cell_length_c 5.152
_cell_angle_alpha 90.00
_cell_angle_beta 90.00
_cell_angle_gamma 90.00
_symmetry_space_group_name_H-M 'P 1'
_symmetry_Int_Tables_number 1
_symmetry_space_group_name_Hall 'P 1'
loop_
_atom_site_label
_atom_site_type_symbol
_atom_site_fract_x
_atom_site_fract_y
_atom_site_fract_z
Se1 Se 0.000 0.500 0.000
Ba1 Ba 0.500 0.500 0.500
Pt1 Pt 0.000 0.000 0.000
Cd1 Cd 0.000 0.000 0.500
Cd2 Cd 0.500 0.000 0.000

Record 6
# PmPtS2, relaxed, DFT PBE
# - raw formation energy (eV per atom) = -0.39
# - E_tot (eV per atom) = -5.15
# - M_tot (μB/atom) = 0.00
data_PmPtS2
_chemical_formula_sum 'Pm1 Pt1 S2'
_cell_length_a 3.670
_cell_length_b 3.670
_cell_length_c 8.309
_cell_angle_alpha 77.24
_cell_angle_beta 77.24
_cell_angle_gamma 60.00
_symmetry_space_group_name_H-M 'P 1'
_symmetry_Int_Tables_number 1
_symmetry_space_group_name_Hall 'P 1'
loop_
_atom_site_label
_atom_site_type_symbol
_atom_site_fract_x
_atom_site_fract_y
_atom_site_fract_z
S1 S 0.116 0.116 0.652
S2 S 0.884 0.884 0.348
Pm1 Pm 0.000 0.000 0.000
Pt1 Pt 0.500 0.500 0.500